LaBrN | PBE-GGA | relaxed

Structure (CIF):
```
data_LaBrN
_cell_length_a 3.671
_cell_length_b 13.326
_cell_length_c 5.362
_cell_angle_alpha 90.00
_cell_angle_beta 90.00
_cell_angle_gamma 90.00
_space_group_name_H-M_alt 'C m c m'
_space_group_IT_number 63
_space_group_name_Hall '-C 2c 2'
loop_
_atom_site_label
_atom_site_fract_x
_atom_site_fract_y
_atom_site_fract_z
La1 0.000 0.092 0.250
Br1 0.000 0.208 0.750
N1 0.000 0.500 0.000
```

Output
total moment: 0.00 μB per formula unit
Fermi-level density of states: 1.02 states/eV/f.u.
E: -6.007 eV/atom
ΔE_f (raw): -3.10 eV/f.u.

La2Br2N | PBE-GGA | relaxed

Structure (CIF):
```
data_La2Br2N
_cell_length_a 5.667
_cell_length_b 5.667
_cell_length_c 8.951
_cell_angle_alpha 90.00
_cell_angle_beta 90.00
_cell_angle_gamma 90.00
_space_group_name_H-M_alt 'I 4/m m m'
_space_group_IT_number 139
_space_group_name_Hall '-I 4 2'
loop_
_atom_site_label
_atom_site_fract_x
_atom_site_fract_y
_atom_site_fract_z
La1 0.000 0.500 0.250
Br1 0.000 0.000 0.173
N1 0.000 0.000 0.500
```

Output
total moment: 0.40 μB per formula unit
Fermi-level density of states: 2.85 states/eV/f.u.
E: -4.557 eV/atom
ΔE_f (raw): -1.26 eV/f.u.

La2Br2N | PBE-GGA | relaxed

Structure (CIF):
```
data_La2Br2N
_cell_length_a 20.821
_cell_length_b 4.206
_cell_length_c 7.934
_cell_angle_alpha 90.00
_cell_angle_beta 97.07
_cell_angle_gamma 90.00
_space_group_name_H-M_alt 'C 1 2/m 1'
_space_group_IT_number 12
_space_group_name_Hall '-C 2y'
loop_
_atom_site_label
_atom_site_fract_x
_atom_site_fract_y
_atom_site_fract_z
La1 0.174 0.000 0.354
La2 0.179 0.500 0.940
Br1 0.077 0.500 0.210
Br2 0.107 0.000 0.689
N1 0.212 0.000 0.102
```

Output
total moment: 1.00 μB per formula unit
Fermi-level density of states: 0.90 states/eV/f.u.
E: -5.976 eV/atom
ΔE_f (raw): -8.35 eV/f.u.

La2Br2N | PBE-GGA | relaxed

Structure (CIF):
```
data_La2Br2N
_cell_length_a 3.952
_cell_length_b 18.617
_cell_length_c 7.687
_cell_angle_alpha 90.00
_cell_angle_beta 90.00
_cell_angle_gamma 90.00
_space_group_name_H-M_alt 'C m c 21'
_space_group_IT_number 36
_space_group_name_Hall 'C 2c -2'
loop_
_atom_site_label
_atom_site_fract_x
_atom_site_fract_y
_atom_site_fract_z
La1 0.000 0.023 0.000
La2 0.000 0.354 0.835
Br1 0.000 0.261 0.508
Br2 0.000 0.418 0.208
N1 0.000 0.077 0.299
```

Output
total moment: 0.40 μB per formula unit
Fermi-level density of states: 1.72 states/eV/f.u.
E: -5.971 eV/atom
ΔE_f (raw): -8.33 eV/f.u.

Question: Among the records above, which one has the lowest Fermi-level density of states?
Answer: number 3

Question: What is the formula in the fourth record?
Answer: La2Br2N